## NdNb4 (PBE)

Data for an optimized crystal structure of NdNb4. Values from VASP.

Geometry as Quantum ESPRESSO input:
```
&SYSTEM
  ibrav = 0, nat = 5, ntyp = 2
/
ATOMIC_SPECIES
Nd 144.24 Nd.upf
Nb 92.91 Nb.upf
CELL_PARAMETERS angstrom
4.930 0.000 0.000
0.000 4.930 0.000
0.000 0.000 4.930
ATOMIC_POSITIONS angstrom
Nd 2.465 2.465 2.465
Nb 2.465 2.465 0.000
Nb 2.465 0.000 2.465
Nb 0.000 0.000 0.000
Nb 0.000 2.465 2.465
```

Calculated values
**Symmetry**: Pm-3m
**Energy of formation**: 2.1622 eV per atom
**Total magnetization**: 0.00 μB/f.u.
**D(E_F)**: 8.88 states/eV/f.u.